(1)
Cs2NpAg2O6 | PBE | relaxed

a = 5.9339 Å, b = 5.9339 Å, c = 7.5855 Å
α = 104.85°, β = 104.85°, γ = 108.69°
Closest atoms and distances in Å follow each position.
Sites, in units of the cell vectors:
Np 0.0000 0.0000 0.5000  6 O 1.99-2.18
O 0.0135 0.3053 0.6947  1 Np 1.99
O 0.2330 0.2330 0.3779  1 Np 2.18, 2 Ag 2.27
O 0.6947 0.9865 0.3053  1 Np 1.99
O 0.7670 0.7670 0.6221  1 Np 2.18, 2 Ag 2.27
O 0.9865 0.6947 0.3053  1 Np 1.99
O 0.3053 0.0135 0.6947  1 Np 1.99
Cs 0.1907 0.8093 0.0000  6 O 2.93-3.18
Cs 0.8093 0.1907 0.0000  6 O 2.93-3.18
Ag 0.3404 0.6596 0.5000  4 O 2.27-2.34
Ag 0.6596 0.3404 0.5000  4 O 2.27-2.34

Values from the calculation:
The space group is C2/m (12). The energy comes out at -66.7 eV for the cell shown. For the density of states at the Fermi level, the calculation gives 5.5 states/eV/f.u.


(2)
CsNpAgO5 | PBE | relaxed

a = 6.6408 Å, b = 6.6408 Å, c = 8.2583 Å
α = 104.29°, β = 104.29°, γ = 108.22°
Closest atoms and distances in Å follow each position.
Sites, in units of the cell vectors:
Cs 0.3273 0.6727 0.2500  7 O 2.98-3.11
Cs 0.6727 0.3273 0.7500  7 O 2.98-3.11
O 0.9047 0.2424 0.0876  1 Np 1.95
O 0.3176 0.2131 0.0952  1 Np 1.96
O 0.0503 0.9497 0.2500  2 Np 2.13
O 0.2131 0.3176 0.5952  1 Np 1.96
O 0.2424 0.9047 0.5876  1 Np 1.95
O 0.7576 0.0953 0.4124  1 Np 1.95
O 0.7869 0.6824 0.4048  1 Np 1.96
O 0.6824 0.7869 0.9048  1 Np 1.96
O 0.9497 0.0503 0.7500  2 Np 2.13
O 0.0953 0.7576 0.9124  1 Np 1.95
Ag 0.6862 0.3138 0.2500  4 O 2.25-2.28
Ag 0.3138 0.6862 0.7500  4 O 2.25-2.28
Np 0.0000 0.0000 0.0000  6 O 1.95-2.13
Np 0.0000 0.0000 0.5000  6 O 1.95-2.13

Values from the calculation:
The space group is C2/c (15). The energy comes out at -110.8 eV for the cell shown. For the density of states at the Fermi level, the calculation gives 7.8 states/eV/f.u.


(3)
CsNpAgO6 | PBE | relaxed

a = 7.3070 Å, b = 8.0563 Å, c = 7.7512 Å
α = 121.31°, β = 118.12°, γ = 90.00°
Closest atoms and distances in Å follow each position.
Sites, in units of the cell vectors:
O 0.8082 0.0578 0.2289  1 Np 1.95
O 0.1918 0.9422 0.7711  1 Np 1.95
O 0.8082 0.6710 0.2289  1 Np 1.95
O 0.4206 0.6710 0.2289  1 Np 1.95
O 0.5641 0.3141 0.1282  2 Np 2.13
O 0.8231 0.0731 0.6463  2 Ag 2.00
O 0.1769 0.9269 0.3537  2 Ag 2.00
O 0.1918 0.3290 0.7711  1 Np 1.95
O 0.5794 0.9422 0.7711  1 Np 1.95
O 0.4359 0.6859 0.8718  2 Np 2.13
O 0.5794 0.3290 0.7711  1 Np 1.95
O 0.4206 0.0578 0.2289  1 Np 1.95
Ag 0.5000 0.0000 0.5000  6 O 2.00-2.20
Ag 0.0000 0.0000 0.5000  6 O 2.00-2.20
Np 0.5000 0.0000 0.0000  6 O 1.95-2.13
Np 0.5000 0.5000 0.0000  6 O 1.95-2.13
Cs 0.8860 0.6360 0.7720  6 O 3.21-3.56
Cs 0.1140 0.3640 0.2280  6 O 3.21-3.56

Values from the calculation:
The space group is Imma (74). The energy comes out at -119.2 eV for the cell shown. For the density of states at the Fermi level, the calculation gives 6.2 states/eV/f.u.


(4)
CsNpAg2O6 | PBE | relaxed

a = 6.1276 Å, b = 6.1249 Å, c = 7.0836 Å
α = 89.99°, β = 115.62°, γ = 120.00°
Closest atoms and distances in Å follow each position.
Sites, in units of the cell vectors:
O 0.8401 0.8255 0.1739  1 Np 2.01, 1 Ag 2.10
O 0.1530 0.1700 0.7866  1 Np 2.01, 1 Ag 2.10
O 0.3622 0.0134 0.1742  1 Np 2.01, 1 Ag 2.10
O 0.1744 0.3478 0.1741  1 Np 2.01, 1 Ag 2.11
O 0.6309 0.9820 0.7864  1 Np 2.01, 1 Ag 2.11
O 0.8186 0.6478 0.7864  1 Np 2.01, 1 Ag 2.10
Ag 0.4492 0.7241 0.1592  3 O 2.10-2.11
Ag 0.5439 0.2715 0.8012  3 O 2.10-2.11
Np 0.9966 0.9978 0.9803  6 O 2.01
Cs 0.9967 0.4979 0.4802  6 O 3.13

Values from the calculation:
The space group is R-3 (148). The energy comes out at -62.6 eV for the cell shown. For the density of states at the Fermi level, the calculation gives 6.9 states/eV/f.u.


(5)
CsNpAgS2 | PBE | relaxed

a = 6.2997 Å, b = 6.0213 Å, c = 8.3562 Å
α = 111.12°, β = 90.00°, γ = 90.00°
Closest atoms and distances in Å follow each position.
Sites, in units of the cell vectors:
Np 0.5000 0.2500 0.0000  4 S 2.75, 2 Np 3.01
Np 0.5000 0.7500 0.0000  4 S 2.75, 2 Np 3.01
S 0.2673 0.3859 0.7718  1 Ag 2.45
S 0.7327 0.8859 0.7718  1 Ag 2.45
S 0.7327 0.6141 0.2282  1 Ag 2.45
S 0.2673 0.1141 0.2282  1 Ag 2.45
Cs 0.2287 0.7500 0.5000  8 S 3.69-3.82
Cs 0.7713 0.2500 0.5000  8 S 3.69-3.82
Ag 0.0000 0.5000 0.0000  2 S 2.45
Ag 0.0000 0.0000 0.0000  2 S 2.45

Values from the calculation:
The space group is Cmme (67). The energy comes out at -57.6 eV for the cell shown. For the density of states at the Fermi level, the calculation gives 7.1 states/eV/f.u.


(6)
CsNp2Ag2S6 | PBE | relaxed

a = 7.2614 Å, b = 8.2248 Å, c = 8.0925 Å
α = 125.98°, β = 90.18°, γ = 62.96°
Closest atoms and distances in Å follow each position.
Sites, in units of the cell vectors:
Np 0.8328 0.3367 0.8363  6 S 2.65-2.70
Np 0.1672 0.6633 0.1637  6 S 2.65-2.70
S 0.8563 0.1442 0.4253  1 Ag 2.42, 2 Np 2.68-2.70
S 0.9939 0.5784 0.8548  1 Ag 2.50, 2 Np 2.65-2.67
S 0.5744 0.2727 0.9926  1 Ag 2.49, 2 Np 2.66-2.67
S 0.0061 0.4216 0.1452  1 Ag 2.50, 2 Np 2.65-2.67
S 0.1437 0.8558 0.5747  1 Ag 2.42, 2 Np 2.68-2.70
S 0.4256 0.7273 0.0074  1 Ag 2.49, 2 Np 2.66-2.67
Cs 0.5000 0.0000 0.5000  6 S 3.43-3.54
Ag 0.1832 0.7355 0.7897  3 S 2.42-2.50
Ag 0.8168 0.2645 0.2103  3 S 2.42-2.50

Values from the calculation:
The space group is P-1 (2). The energy comes out at -66.6 eV for the cell shown. For the density of states at the Fermi level, the calculation gives 15.3 states/eV/f.u.


(7)
CsNpAg2S4 | PBE | relaxed

a = 6.5296 Å, b = 6.9118 Å, c = 6.9118 Å
α = 70.33°, β = 61.81°, γ = 61.81°
Closest atoms and distances in Å follow each position.
Sites, in units of the cell vectors:
Cs 0.0000 0.0000 0.0000  8 S 3.53-3.64
S 0.8746 0.5145 0.1473  1 Ag 2.42, 1 Np 2.52
S 0.4635 0.1473 0.5145  1 Ag 2.42, 1 Np 2.52
S 0.5365 0.4855 0.8527  1 Ag 2.42, 1 Np 2.52
S 0.1254 0.8527 0.4855  1 Ag 2.42, 1 Np 2.52
Np 0.5000 0.5000 0.5000  4 S 2.52
Ag 0.1599 0.3401 0.3401  2 S 2.42
Ag 0.8401 0.6599 0.6599  2 S 2.42

Values from the calculation:
The space group is I222 (23). The energy comes out at -40.6 eV for the cell shown. For the density of states at the Fermi level, the calculation gives 9.4 states/eV/f.u.


(8)
CsNp3Ag2S8 | PBE | relaxed

a = 8.1393 Å, b = 8.1393 Å, c = 9.6158 Å
α = 64.96°, β = 64.96°, γ = 60.00°
Closest atoms and distances in Å follow each position.
Sites, in units of the cell vectors:
Np 0.0048 0.5110 0.9732  6 S 2.60-2.73
Np 0.5110 0.0048 0.9732  6 S 2.60-2.73
Np 0.5110 0.5110 0.9732  6 S 2.60-2.73
S 0.3246 0.7706 0.1341  2 Np 2.60
S 0.7177 0.2403 0.8016  2 Ag 2.46-2.48, 2 Np 2.73
S 0.2903 0.2903 0.1292  3 Np 2.72
S 0.7311 0.7311 0.8068  3 Np 2.71
S 0.2403 0.7177 0.8016  2 Ag 2.46-2.48, 2 Np 2.73
S 0.2403 0.2403 0.8016  2 Ag 2.46-2.48, 2 Np 2.73
S 0.7706 0.7706 0.1341  2 Np 2.60
S 0.7706 0.3246 0.1341  2 Np 2.60
Ag 0.4412 0.4412 0.6764  3 S 2.48
Ag 0.0715 0.0715 0.7856  3 S 2.46
Cs 0.8675 0.8675 0.3974  4 S 3.41-3.43

Values from the calculation:
The space group is R3m (160). The energy comes out at -91.6 eV for the cell shown. For the density of states at the Fermi level, the calculation gives 24.4 states/eV/f.u.


(9)
Cs3NpAg2S6 | PBE | relaxed

a = 7.6514 Å, b = 7.6514 Å, c = 8.9023 Å
α = 90.00°, β = 90.00°, γ = 120.00°
Closest atoms and distances in Å follow each position.
Sites, in units of the cell vectors:
Ag 0.3333 0.6667 0.3068  3 S 2.42
Ag 0.6667 0.3333 0.6932  3 S 2.42
Np 0.0000 0.0000 0.5000  6 S 2.55
S 0.8486 0.1514 0.6766  1 Ag 2.42, 1 Np 2.55
S 0.1514 0.3027 0.3234  1 Ag 2.42, 1 Np 2.55
S 0.6973 0.8486 0.3234  1 Ag 2.42, 1 Np 2.55
S 0.3027 0.1514 0.6766  1 Ag 2.42, 1 Np 2.55
S 0.1514 0.8486 0.3234  1 Ag 2.42, 1 Np 2.55
S 0.8486 0.6973 0.6766  1 Ag 2.42, 1 Np 2.55
Cs 0.3333 0.6667 0.6912  1 Ag 3.42
Cs 0.0000 0.0000 0.0000  6 S 3.51
Cs 0.6667 0.3333 0.3088  1 Ag 3.42

Values from the calculation:
The space group is P-3m1 (164). The energy comes out at -55.4 eV for the cell shown. For the density of states at the Fermi level, the calculation gives 10.9 states/eV/f.u.


(10)
Cs2Np3AgS8 | PBE | relaxed

a = 7.9664 Å, b = 7.9664 Å, c = 9.7092 Å
α = 65.78°, β = 65.78°, γ = 60.00°
Closest atoms and distances in Å follow each position.
Sites, in units of the cell vectors:
S 0.7558 0.2897 0.1987  1 Ag 2.64, 2 Np 2.66
S 0.2252 0.2252 0.8615  2 Np 2.64
S 0.6881 0.2252 0.8615  2 Np 2.64
S 0.7558 0.7558 0.1987  1 Ag 2.64, 2 Np 2.66
S 0.7128 0.7128 0.8617  3 Np 2.70
S 0.2897 0.7558 0.1987  1 Ag 2.64, 2 Np 2.66
S 0.2252 0.6881 0.8615  2 Np 2.64
S 0.2694 0.2694 0.1918  3 Np 2.70
Np 0.9893 0.4914 0.0280  6 S 2.64-2.70
Np 0.4914 0.4914 0.0280  6 S 2.64-2.70
Np 0.4914 0.9893 0.0280  6 S 2.64-2.70
Cs 0.4903 0.4903 0.5290  6 S 3.55
Cs 0.1367 0.1367 0.5898  4 S 3.39-3.40
Ag 0.9716 0.9716 0.0851  3 S 2.64

Values from the calculation:
The space group is R3m (160). The energy comes out at -92.5 eV for the cell shown. For the density of states at the Fermi level, the calculation gives 24.0 states/eV/f.u.


(11)
CsNp4Ag3S12 | PBE | relaxed

a = 8.5772 Å, b = 8.5772 Å, c = 8.5772 Å
α = 109.47°, β = 109.47°, γ = 109.47°
Closest atoms and distances in Å follow each position.
Sites, in units of the cell vectors:
Ag 0.5000 0.0000 0.5000  4 S 2.63
Ag 0.0000 0.5000 0.5000  4 S 2.63
Ag 0.5000 0.5000 0.0000  4 S 2.63
Np 0.0000 0.5000 0.0000  6 S 2.63
Np 0.0000 0.0000 0.5000  6 S 2.63
Np 0.5000 0.0000 0.0000  6 S 2.63
Np 0.5000 0.5000 0.5000  6 S 2.63
S 0.1834 0.8755 0.6922  2 Np 2.63, 1 Ag 2.63
S 0.3078 0.1834 0.4912  2 Np 2.63, 1 Ag 2.63
S 0.8166 0.1245 0.3078  2 Np 2.63, 1 Ag 2.63
S 0.8755 0.6922 0.1834  2 Np 2.63, 1 Ag 2.63
S 0.3078 0.8166 0.1245  2 Np 2.63, 1 Ag 2.63
S 0.4912 0.3078 0.1834  2 Np 2.63, 1 Ag 2.63
S 0.5088 0.6922 0.8166  2 Np 2.63, 1 Ag 2.63
S 0.6922 0.8166 0.5088  2 Np 2.63, 1 Ag 2.63
S 0.8166 0.5088 0.6922  2 Np 2.63, 1 Ag 2.63
S 0.1834 0.4912 0.3078  2 Np 2.63, 1 Ag 2.63
S 0.6922 0.1834 0.8755  2 Np 2.63, 1 Ag 2.63
S 0.1245 0.3078 0.8166  2 Np 2.63, 1 Ag 2.63
Cs 0.0000 0.0000 0.0000  12 S 3.55

Values from the calculation:
The space group is Im-3 (204). The energy comes out at -126.5 eV for the cell shown. For the density of states at the Fermi level, the calculation gives 32.0 states/eV/f.u.


(12)
CsNpAgS4 | PBE | relaxed

a = 6.6407 Å, b = 6.9309 Å, c = 10.5439 Å
α = 90.00°, β = 124.32°, γ = 90.00°
Closest atoms and distances in Å follow each position.
Sites, in units of the cell vectors:
S 0.1031 0.5068 0.6816  1 Ag 2.58, 2 Np 2.63-2.68
S 0.3797 0.7500 0.2040  1 Ag 2.49, 1 Np 2.53
S 0.8969 0.0068 0.3184  1 Ag 2.58, 2 Np 2.63-2.68
S 0.6138 0.7500 0.6085  1 Ag 2.45, 1 Np 2.47
S 0.1031 0.9932 0.6816  1 Ag 2.58, 2 Np 2.63-2.68
S 0.6203 0.2500 0.7960  1 Ag 2.49, 1 Np 2.53
S 0.3862 0.2500 0.3915  1 Ag 2.45, 1 Np 2.47
S 0.8969 0.4932 0.3184  1 Ag 2.58, 2 Np 2.63-2.68
Cs 0.3338 0.2500 0.0516  7 S 3.40-3.76, 1 Ag 3.80
Cs 0.6662 0.7500 0.9484  7 S 3.40-3.76, 1 Ag 3.80
Np 0.2077 0.2500 0.5430  6 S 2.47-2.68
Np 0.7923 0.7500 0.4570  6 S 2.47-2.68
Ag 0.7877 0.2500 0.6360  4 S 2.45-2.58
Ag 0.2123 0.7500 0.3640  4 S 2.45-2.58

Values from the calculation:
The space group is P2_1/m (11). The energy comes out at -76.8 eV for the cell shown. For the density of states at the Fermi level, the calculation gives 7.0 states/eV/f.u.


| no. | total magnetic moment (μB/f.u.) |
| --- | --- |
| 1 | 0.67 |
| 2 | 0.00 |
| 3 | 0.33 |
| 4 | 0.00 |
| 5 | 4.99 |
| 6 | 5.00 |
| 7 | 1.99 |
| 8 | 8.00 |
| 9 | 0.17 |
| 10 | 8.00 |
| 11 | 7.92 |
| 12 | 0.11 |